## ScTi7Ga4 (PBE)

Data for a relaxed structure of ScTi7Ga4.

The total energy comes out at -6.195 eV per atom. As for the formation energy: -0.053 eV per atom.

Unit cell a=6.5477 b=6.5477 c=9.1846 alpha=123.47 beta=123.47 gamma=41.66
With the nearest neighbours (Å) after each atom.
Atoms (fractional coordinates):
Sc 0.0000 0.0000 0.0000  2 Ti 2.33
Ti 0.0572 0.0572 0.3993  3 Ga 2.61-2.72, 4 Ti 2.78-2.91
Ti 0.2209 0.2209 0.8669  4 Ga 2.74-2.80, 4 Ti 2.78-3.04
Ti 0.3132 0.3132 0.3694  4 Ga 2.51-2.73
Ti 0.5000 0.5000 0.0000  2 Sc 2.33, 2 Ga 2.55
Ti 0.6868 0.6868 0.6306  4 Ga 2.51-2.73
Ti 0.7791 0.7791 0.1331  4 Ga 2.74-2.80, 4 Ti 2.78-3.04
Ti 0.9428 0.9428 0.6007  3 Ga 2.61-2.72, 4 Ti 2.78-2.91
Ga 0.3157 0.3157 0.6612  6 Ti 2.55-2.74, 1 Ga 2.58
Ga 0.4345 0.4345 0.2252  7 Ti 2.51-2.80, 1 Ga 2.58
Ga 0.5655 0.5655 0.7748  7 Ti 2.51-2.80, 1 Ga 2.58
Ga 0.6843 0.6843 0.3388  6 Ti 2.55-2.74, 1 Ga 2.58

## ScTi3Ga2 (PBE)

Data for a relaxed structure of ScTi3Ga2.

The total energy comes out at -6.297 eV per atom. As for the formation energy: -0.286 eV per atom.

Unit cell a=7.9633 b=7.9633 c=7.8027 alpha=112.42 beta=112.42 gamma=28.59
With the nearest neighbours (Å) after each atom.
Atoms (fractional coordinates):
Sc 0.1169 0.1169 0.1462  6 Ga 2.81-2.99, 1 Ti 3.04
Sc 0.8831 0.8831 0.8538  6 Ga 2.81-2.99, 1 Ti 3.04
Ti 0.0604 0.0604 0.6818  3 Ga 2.62-2.75, 5 Ti 2.71-2.93
Ti 0.3073 0.3073 0.1153  4 Ga 2.69-2.97, 5 Ti 2.78-2.83
Ti 0.3660 0.3660 0.5045  4 Ga 2.67-2.89, 3 Ti 2.81-2.93
Ti 0.6340 0.6340 0.4955  4 Ga 2.67-2.89, 3 Ti 2.81-2.93
Ti 0.6927 0.6927 0.8847  4 Ga 2.69-2.97, 5 Ti 2.78-2.83
Ti 0.9396 0.9396 0.3182  3 Ga 2.62-2.75, 5 Ti 2.71-2.93
Ga 0.2423 0.2423 0.7024  7 Ti 2.67-2.97, 2 Sc 2.82
Ga 0.4883 0.4883 0.1523  1 Ga 2.54, 4 Ti 2.62-2.74, 2 Sc 2.81
Ga 0.5117 0.5117 0.8477  1 Ga 2.54, 4 Ti 2.62-2.74, 2 Sc 2.81
Ga 0.7577 0.7577 0.2976  7 Ti 2.67-2.97, 2 Sc 2.82

## ScTiZnGa (PBE)

Data for a relaxed structure of ScTiZnGa.

The total energy comes out at -5.010 eV per atom. As for the formation energy: -0.378 eV per atom.

Unit cell a=6.4882 b=6.4882 c=6.4882 alpha=90.00 beta=90.00 gamma=90.00
With the nearest neighbours (Å) after each atom.
Atoms (fractional coordinates):
Sc 0.0000 0.0000 0.0000  4 Zn 2.81, 4 Ga 2.81
Sc 0.0000 0.5000 0.5000  4 Zn 2.81, 4 Ga 2.81
Sc 0.5000 0.0000 0.5000  4 Zn 2.81, 4 Ga 2.81
Sc 0.5000 0.5000 0.0000  4 Zn 2.81, 4 Ga 2.81
Ti 0.0000 0.0000 0.5000  4 Ga 2.81, 4 Zn 2.81
Ti 0.0000 0.5000 0.0000  4 Ga 2.81, 4 Zn 2.81
Ti 0.5000 0.0000 0.0000  4 Ga 2.81, 4 Zn 2.81
Ti 0.5000 0.5000 0.5000  4 Zn 2.81, 4 Ga 2.81
Zn 0.2500 0.2500 0.2500  4 Sc 2.81, 4 Ti 2.81
Zn 0.2500 0.7500 0.7500  4 Sc 2.81, 4 Ti 2.81
Zn 0.7500 0.2500 0.7500  4 Sc 2.81, 4 Ti 2.81
Zn 0.7500 0.7500 0.2500  4 Sc 2.81, 4 Ti 2.81
Ga 0.2500 0.2500 0.7500  4 Sc 2.81, 4 Ti 2.81
Ga 0.2500 0.7500 0.2500  4 Sc 2.81, 4 Ti 2.81
Ga 0.7500 0.2500 0.2500  4 Sc 2.81, 4 Ti 2.81
Ga 0.7500 0.7500 0.7500  4 Sc 2.81, 4 Ti 2.81

## ScTl2Ga2 (PBE)

Data for a relaxed structure of ScTl2Ga2.

The value obtained for the energy above the most stable polymorph in this dataset is 0.62 eV/f.u. The total energy comes out at -3.320 eV per atom. As for the formation energy: 0.104 eV per atom.

Unit cell a=8.0533 b=8.0533 c=3.6884 alpha=90.00 beta=90.00 gamma=90.00
With the nearest neighbours (Å) after each atom.
Atoms (fractional coordinates):
Sc 0.0000 0.0000 0.0000  4 Tl 3.11
Sc 0.5000 0.5000 0.0000  4 Tl 3.11
Tl 0.1395 0.3605 0.0000  6 Ga 2.91-3.06, 2 Sc 3.11, 1 Tl 3.18
Tl 0.3605 0.8605 0.0000  6 Ga 2.91-3.06, 2 Sc 3.11, 1 Tl 3.18
Tl 0.6395 0.1395 0.0000  6 Ga 2.91-3.06, 2 Sc 3.11, 1 Tl 3.18
Tl 0.8605 0.6395 0.0000  6 Ga 2.91-3.06, 2 Sc 3.11, 1 Tl 3.18
Ga 0.1631 0.6631 0.5000  6 Tl 2.91-3.06
Ga 0.3369 0.1631 0.5000  6 Tl 2.91-3.06
Ga 0.6631 0.8369 0.5000  6 Tl 2.91-3.06
Ga 0.8369 0.3369 0.5000  6 Tl 2.91-3.06

## Sc8TlGa2 (PBE)

Data for a relaxed structure of Sc8TlGa2.

The value obtained for the energy above the most stable polymorph in this dataset is 0.00 eV/f.u. The total energy comes out at -5.632 eV per atom. As for the formation energy: -0.262 eV per atom.

Unit cell a=8.2562 b=8.2562 c=8.2562 alpha=147.65 beta=124.51 gamma=65.71
With the nearest neighbours (Å) after each atom.
Atoms (fractional coordinates):
Sc 0.1248 0.3389 0.7859  3 Ga 2.86-2.99, 3 Sc 3.09-3.18, 1 Tl 3.13
Sc 0.1506 0.1506 0.0000  8 Sc 3.09-3.18, 2 Tl 3.11, 2 Ga 3.16
Sc 0.3069 0.0000 0.3069  7 Sc 2.97-3.21, 2 Ga 3.06, 2 Tl 3.29
Sc 0.4470 0.6611 0.7859  3 Ga 2.86-2.99, 3 Sc 3.09-3.18, 1 Tl 3.13
Sc 0.5530 0.3389 0.2141  3 Ga 2.86-2.99, 3 Sc 3.09-3.18, 1 Tl 3.13
Sc 0.6931 0.0000 0.6931  7 Sc 2.97-3.21, 2 Ga 3.06, 2 Tl 3.29
Sc 0.8494 0.8494 0.0000  8 Sc 3.09-3.18, 2 Tl 3.11, 2 Ga 3.16
Sc 0.8752 0.6611 0.2141  3 Ga 2.86-2.99, 3 Sc 3.09-3.18, 1 Tl 3.13
Tl 0.0000 0.5000 0.5000  12 Sc 3.11-3.29
Ga 0.3073 0.8073 0.5000  10 Sc 2.86-3.16
Ga 0.6927 0.1927 0.5000  10 Sc 2.86-3.16

## Sc5Tl2Ga (PBE)

Data for a relaxed structure of Sc5Tl2Ga.

The total energy comes out at -5.276 eV per atom. As for the formation energy: -0.348 eV per atom.

Unit cell a=6.3586 b=12.0496 c=4.7437 alpha=90.00 beta=90.00 gamma=90.00
With the nearest neighbours (Å) after each atom.
Atoms (fractional coordinates):
Sc 0.0000 0.0000 0.0000  4 Tl 3.10, 2 Ga 3.18, 6 Sc 3.40-3.42
Sc 0.1303 0.2750 0.0000  1 Ga 2.84, 2 Tl 2.99
Sc 0.1624 0.5957 0.5000  2 Ga 2.83, 2 Tl 2.98-3.03, 1 Sc 3.10
Sc 0.3376 0.0957 0.5000  2 Ga 2.83, 2 Tl 2.98-3.03, 1 Sc 3.10
Sc 0.3697 0.7750 0.0000  1 Ga 2.84, 2 Tl 2.99
Sc 0.5000 0.5000 0.0000  4 Tl 3.10, 2 Ga 3.18, 6 Sc 3.40-3.42
Sc 0.6303 0.2250 0.0000  1 Ga 2.84, 2 Tl 2.99
Sc 0.6624 0.9043 0.5000  2 Ga 2.83, 2 Tl 2.98-3.03, 1 Sc 3.10
Sc 0.8376 0.4043 0.5000  2 Ga 2.83, 2 Tl 2.98-3.03, 1 Sc 3.10
Sc 0.8697 0.7250 0.0000  1 Ga 2.84, 2 Tl 2.99
Tl 0.1176 0.8461 0.5000  9 Sc 2.98-3.32
Tl 0.3824 0.3461 0.5000  9 Sc 2.98-3.32
Tl 0.6176 0.6539 0.5000  9 Sc 2.98-3.32
Tl 0.8824 0.1539 0.5000  9 Sc 2.98-3.32
Ga 0.0000 0.5000 0.0000  6 Sc 2.83-2.84
Ga 0.5000 0.0000 0.0000  6 Sc 2.83-2.84

## Sc2TlGa2 (PBE)

Data for a relaxed structure of Sc2TlGa2.

The value obtained for the energy above the most stable polymorph in this dataset is 1.25 eV/f.u. The total energy comes out at -4.396 eV per atom. As for the formation energy: -0.179 eV per atom.

Unit cell a=3.6051 b=3.6051 c=17.1253 alpha=90.00 beta=90.00 gamma=90.00
With the nearest neighbours (Å) after each atom.
Atoms (fractional coordinates):
Sc 0.0000 0.0000 0.1117  4 Ga 2.98, 4 Tl 3.19
Sc 0.0000 0.0000 0.8883  4 Ga 2.98, 4 Tl 3.19
Sc 0.5000 0.5000 0.3883  4 Ga 2.98, 4 Tl 3.19
Sc 0.5000 0.5000 0.6117  4 Ga 2.98, 4 Tl 3.19
Tl 0.0000 0.0000 0.5000  8 Sc 3.19
Tl 0.5000 0.5000 0.0000  8 Sc 3.19
Ga 0.0000 0.5000 0.2500  4 Ga 2.55
Ga 0.0000 0.5000 0.7500  4 Ga 2.55
Ga 0.5000 0.0000 0.2500  4 Ga 2.55
Ga 0.5000 0.0000 0.7500  4 Ga 2.55

## Sc2TlGa2 (PBE)

Data for a relaxed structure of Sc2TlGa2.

The value obtained for the energy above the most stable polymorph in this dataset is 0.73 eV/f.u. The total energy comes out at -4.500 eV per atom. As for the formation energy: -0.284 eV per atom.

Unit cell a=8.0458 b=8.0458 c=3.3742 alpha=90.00 beta=90.00 gamma=90.00
With the nearest neighbours (Å) after each atom.
Atoms (fractional coordinates):
Sc 0.1729 0.3271 0.0000  6 Ga 2.85-2.96, 2 Tl 2.98
Sc 0.3271 0.8271 0.0000  6 Ga 2.85-2.96, 2 Tl 2.98
Sc 0.6729 0.1729 0.0000  6 Ga 2.85-2.96, 2 Tl 2.98
Sc 0.8271 0.6729 0.0000  6 Ga 2.85-2.96, 2 Tl 2.98
Tl 0.0000 0.0000 0.0000  4 Sc 2.98
Tl 0.5000 0.5000 0.0000  4 Sc 2.98
Ga 0.1248 0.6248 0.5000  1 Ga 2.84, 6 Sc 2.85-2.96
Ga 0.3752 0.1248 0.5000  1 Ga 2.84, 6 Sc 2.85-2.96
Ga 0.6248 0.8752 0.5000  1 Ga 2.84, 6 Sc 2.85-2.96
Ga 0.8752 0.3752 0.5000  1 Ga 2.84, 6 Sc 2.85-2.96

## Sc7TlGa5 (PBE)

Data for a relaxed structure of Sc7TlGa5.

The total energy comes out at -5.115 eV per atom. As for the formation energy: -0.359 eV per atom.

Unit cell a=7.4421 b=7.4421 c=7.4421 alpha=134.03 beta=98.98 gamma=98.57
With the nearest neighbours (Å) after each atom.
Atoms (fractional coordinates):
Sc 0.0000 0.0000 0.0000  4 Ga 2.99, 5 Sc 3.21-3.34, 1 Tl 3.27
Sc 0.3070 0.6357 0.6714  5 Ga 2.84-2.97, 1 Sc 3.14
Sc 0.3436 0.3436 0.0000  6 Ga 2.91-2.92, 1 Tl 3.10
Sc 0.4343 0.1133 0.3210  5 Ga 2.80-3.03, 1 Sc 2.96
Sc 0.7922 0.1133 0.6790  5 Ga 2.80-3.03, 1 Sc 2.96
Sc 0.8607 0.3607 0.5000  4 Ga 2.77, 2 Sc 2.96
Sc 0.9643 0.6357 0.3286  5 Ga 2.84-2.97, 1 Sc 3.14
Tl 0.6628 0.6628 0.0000  8 Sc 3.10-3.42, 4 Ga 3.46
Ga 0.1208 0.1268 0.4905  7 Sc 2.77-3.03, 3 Ga 2.88-2.93
Ga 0.1208 0.6304 0.9940  7 Sc 2.77-3.03, 3 Ga 2.88-2.93
Ga 0.3729 0.8729 0.5000  6 Sc 2.84-2.92, 4 Ga 2.88
Ga 0.6364 0.1268 0.0060  7 Sc 2.77-3.03, 3 Ga 2.88-2.93
Ga 0.6364 0.6304 0.5095  7 Sc 2.77-3.03, 3 Ga 2.88-2.93

## Sc2TlGa (PBE)

Data for a relaxed structure of Sc2TlGa.

The value obtained for the energy above the most stable polymorph in this dataset is 0.12 eV/f.u. The total energy comes out at -4.896 eV per atom. As for the formation energy: -0.382 eV per atom.

Unit cell a=4.5594 b=4.5594 c=4.0800 alpha=90.00 beta=90.00 gamma=90.00
With the nearest neighbours (Å) after each atom.
Atoms (fractional coordinates):
Sc 0.0000 0.5000 0.0000  4 Tl 3.06, 4 Ga 3.06, 4 Sc 3.22
Sc 0.5000 0.0000 0.0000  4 Tl 3.06, 4 Ga 3.06, 4 Sc 3.22
Tl 0.0000 0.0000 0.5000  8 Sc 3.06, 4 Ga 3.22
Ga 0.5000 0.5000 0.5000  8 Sc 3.06, 4 Tl 3.22

## Sc2TlGa (PBE)

Data for a relaxed structure of Sc2TlGa.

The value obtained for the energy above the most stable polymorph in this dataset is 0.05 eV/f.u. The total energy comes out at -4.913 eV per atom. As for the formation energy: -0.399 eV per atom.

Unit cell a=4.9901 b=3.4491 c=9.8894 alpha=90.00 beta=90.00 gamma=90.00
With the nearest neighbours (Å) after each atom.
Atoms (fractional coordinates):
Sc 0.2500 0.0000 0.1152  6 Ga 2.90-3.03, 2 Tl 3.13
Sc 0.2500 0.0000 0.6461  2 Ga 2.89, 6 Tl 3.04-3.15
Sc 0.7500 0.0000 0.3539  2 Ga 2.89, 6 Tl 3.04-3.15
Sc 0.7500 0.0000 0.8848  6 Ga 2.90-3.03, 2 Tl 3.13
Tl 0.2500 0.5000 0.3797  8 Sc 3.04-3.15
Tl 0.7500 0.5000 0.6203  8 Sc 3.04-3.15
Ga 0.2500 0.5000 0.8800  8 Sc 2.89-3.03
Ga 0.7500 0.5000 0.1200  8 Sc 2.89-3.03

## Sc6TlGa (PBE)

Data for a relaxed structure of Sc6TlGa.

The value obtained for the energy above the most stable polymorph in this dataset is 0.40 eV/f.u. The total energy comes out at -5.634 eV per atom. As for the formation energy: -0.211 eV per atom.

Unit cell a=5.6222 b=5.6222 c=5.6222 alpha=90.00 beta=90.00 gamma=90.00
With the nearest neighbours (Å) after each atom.
Atoms (fractional coordinates):
Sc 0.0000 0.2540 0.5000  2 Sc 2.77-2.86
Sc 0.0000 0.7460 0.5000  2 Sc 2.77-2.86
Sc 0.2540 0.5000 0.0000  2 Sc 2.77-2.86
Sc 0.5000 0.0000 0.2540  2 Sc 2.77-2.86
Sc 0.5000 0.0000 0.7460  2 Sc 2.77-2.86
Sc 0.7460 0.5000 0.0000  2 Sc 2.77-2.86
Tl 0.0000 0.0000 0.0000  12 Sc 3.15
Ga 0.5000 0.5000 0.5000  12 Sc 3.13